No. 1
Crystalline KPdF2 at its relaxed geometry, computed with PBE-GGA.

Output
Calculated volume = 84 Å³/f.u.
Formation energy without anion corrections = -1.1858 eV per atom
Energy above the most stable polymorph in this dataset = 0.440 eV per atom

abc: 3.9278 3.9278 18.9411
angles: 90.00 90.00 120.00
Sites, in units of the cell vectors:
K (0.0000, 0.0000, 0.0000)
K (0.3333, 0.6667, 0.6667)
K (0.6667, 0.3333, 0.3333)
Pd (0.0000, 0.0000, 0.5000)
Pd (0.3333, 0.6667, 0.1667)
Pd (0.6667, 0.3333, 0.8333)
F (0.0000, 0.0000, 0.1255)
F (0.0000, 0.0000, 0.8745)
F (0.3333, 0.6667, 0.5412)
F (0.3333, 0.6667, 0.7922)
F (0.6667, 0.3333, 0.2078)
F (0.6667, 0.3333, 0.4588)

=====

No. 2
Crystalline TaNi14W at its relaxed geometry, computed with PBE-GGA.

Output
Energy relative to the elements = -159 kJ/mol of formula units
Calculated volume = 185 Å³/f.u.

abc: 5.1081 5.1081 7.0780
angles: 90.00 90.00 90.00
Sites, in units of the cell vectors:
Ta (0.0000, 0.0000, 0.0000)
Ni (0.0000, 0.0000, 0.5000)
Ni (0.0000, 0.5000, 0.0000)
Ni (0.0000, 0.5000, 0.5000)
Ni (0.2520, 0.2520, 0.2544)
Ni (0.2520, 0.2520, 0.7456)
Ni (0.2520, 0.7480, 0.2544)
Ni (0.2520, 0.7480, 0.7456)
Ni (0.5000, 0.0000, 0.0000)
Ni (0.5000, 0.0000, 0.5000)
Ni (0.5000, 0.5000, 0.5000)
Ni (0.7480, 0.2520, 0.2544)
Ni (0.7480, 0.2520, 0.7456)
Ni (0.7480, 0.7480, 0.2544)
Ni (0.7480, 0.7480, 0.7456)
W (0.5000, 0.5000, 0.0000)

=====

No. 3
Crystalline Li4Zn5Rh at its relaxed geometry, computed with PBE-GGA.

Output
Energy relative to the elements = -99 kJ/mol of formula units
Calculated volume = 178 Å³/f.u.

abc: 6.5342 6.5342 6.5342
angles: 97.78 97.78 136.81
Sites, in units of the cell vectors:
Li (0.0000, 0.2894, 0.2894)
Li (0.0000, 0.7106, 0.7106)
Li (0.2894, 0.0000, 0.2894)
Li (0.7106, 0.0000, 0.7106)
Zn (0.2765, 0.2765, 0.6195)
Zn (0.2765, 0.6570, 0.0000)
Zn (0.6570, 0.2765, 0.0000)
Zn (0.6570, 0.6570, 0.3805)
Zn (0.7629, 0.7629, 0.0000)
Rh (0.2576, 0.2576, 0.0000)

=====

No. 4
Crystalline LiAl2As at its relaxed geometry, computed with PBE-GGA.

Output
Energy relative to the elements = -47 kJ/mol of formula units
Calculated volume = 67 Å³/f.u.

abc: 3.8642 3.8642 8.9722
angles: 90.00 90.00 90.00
Sites, in units of the cell vectors:
Li (0.0000, 0.0000, 0.0000)
Li (0.5000, 0.5000, 0.5000)
Al (0.0000, 0.5000, 0.2500)
Al (0.0000, 0.5000, 0.7500)
Al (0.5000, 0.0000, 0.2500)
Al (0.5000, 0.0000, 0.7500)
As (0.0000, 0.0000, 0.5000)
As (0.5000, 0.5000, 0.0000)

=====

No. 5
Crystalline AlMo2Se at its relaxed geometry, computed with PBE-GGA.

Output
Calculated volume = 65 Å³/f.u.
Formation energy without anion corrections = 0.3058 eV per atom
Energy above the most stable polymorph in this dataset = 0.395 eV per atom

abc: 3.2120 4.7192 8.5179
angles: 90.00 90.00 90.00
Sites, in units of the cell vectors:
Al (0.0000, 0.0000, 0.0000)
Al (0.5000, 0.5000, 0.0000)
Mo (0.0000, 0.5000, 0.2518)
Mo (0.0000, 0.5000, 0.7482)
Mo (0.5000, 0.0000, 0.2518)
Mo (0.5000, 0.0000, 0.7482)
Se (0.0000, 0.0000, 0.5000)
Se (0.5000, 0.5000, 0.5000)

=====

No. 6
Crystalline LaIn4I7 at its relaxed geometry, computed with PBE-GGA.

Output
Calculated volume = 547 Å³/f.u.
Formation energy without anion corrections = -0.7505 eV per atom

abc: 11.4029 11.4029 8.3349
angles: 104.40 104.40 31.51
Sites, in units of the cell vectors:
La (0.0000, 0.0000, 0.0000)
In (0.2792, 0.2792, 0.7653)
In (0.4222, 0.4222, 0.3726)
In (0.5778, 0.5778, 0.6274)
In (0.7208, 0.7208, 0.2347)
I (0.0752, 0.0752, 0.3751)
I (0.1292, 0.1292, 0.8923)
I (0.2789, 0.2789, 0.3635)
I (0.5000, 0.5000, 0.0000)
I (0.7211, 0.7211, 0.6365)
I (0.8708, 0.8708, 0.1077)
I (0.9248, 0.9248, 0.6249)

=====

No. 7
Crystalline GdTaV4 at its relaxed geometry, computed with PBE-GGA.

Output
Energy relative to the elements = 141 kJ/mol of formula units
Calculated volume = 99 Å³/f.u.

abc: 5.1920 5.1920 5.1920
angles: 60.00 60.00 60.00
Sites, in units of the cell vectors:
Gd (0.0000, 0.0000, 0.0000)
Ta (0.2500, 0.2500, 0.2500)
V (0.1255, 0.6248, 0.6248)
V (0.6248, 0.1255, 0.6248)
V (0.6248, 0.6248, 0.1255)
V (0.6248, 0.6248, 0.6248)

=====

No. 8
Crystalline NaHg2Au at its relaxed geometry, computed with PBE-GGA.

Output
Energy relative to the elements = -64 kJ/mol of formula units
Calculated volume = 89 Å³/f.u.

abc: 4.4430 4.6580 8.5809
angles: 90.00 90.00 90.00
Sites, in units of the cell vectors:
Na (0.0000, 0.0000, 0.0000)
Na (0.5000, 0.5000, 0.5000)
Hg (0.0000, 0.5000, 0.2441)
Hg (0.0000, 0.5000, 0.7559)
Hg (0.5000, 0.0000, 0.2559)
Hg (0.5000, 0.0000, 0.7441)
Au (0.0000, 0.0000, 0.5000)
Au (0.5000, 0.5000, 0.0000)

=====

No. 9
Crystalline TiTl2AgBr6 at its relaxed geometry, computed with PBE-GGA.

Output
Calculated volume = 313 Å³/f.u.
Formation energy without anion corrections = -0.8569 eV per atom

abc: 7.5278 7.5299 7.5711
angles: 60.89 61.44 61.85
Sites, in units of the cell vectors:
Ti (0.0000, 0.0000, 0.0000)
Tl (0.2330, 0.2363, 0.2333)
Tl (0.7286, 0.7272, 0.7291)
Ag (0.4972, 0.4955, 0.4934)
Br (0.1645, 0.7690, 0.3103)
Br (0.2262, 0.7029, 0.8290)
Br (0.3133, 0.1642, 0.7818)
Br (0.6914, 0.8343, 0.2337)
Br (0.7826, 0.3053, 0.1676)
Br (0.8328, 0.2439, 0.6955)

=====

No. 10
Crystalline Cd2PdAu8 at its relaxed geometry, computed with PBE-GGA.

Output
Energy relative to the elements = -28 kJ/mol of formula units
Calculated volume = 214 Å³/f.u.
Energy above the most stable polymorph in this dataset = 0.077 eV per atom

abc: 7.6444 7.6444 5.5208
angles: 110.64 110.64 116.52
Sites, in units of the cell vectors:
Cd (0.1939, 0.8061, 0.0000)
Cd (0.8061, 0.1939, 0.0000)
Pd (0.5000, 0.5000, 0.5000)
Au (0.0993, 0.0993, 0.8667)
Au (0.1809, 0.4037, 0.6742)
Au (0.2801, 0.7199, 0.5000)
Au (0.4037, 0.1809, 0.6742)
Au (0.5963, 0.8191, 0.3258)
Au (0.7199, 0.2801, 0.5000)
Au (0.8191, 0.5963, 0.3258)
Au (0.9007, 0.9007, 0.1333)

=====

No. 11
Crystalline AlWI2N at its relaxed geometry, computed with PBE-GGA.

Output
Calculated volume = 126 Å³/f.u.
Formation energy without anion corrections = 0.4242 eV per atom
Energy above the most stable polymorph in this dataset = 0.000 eV per atom

abc: 5.7172 5.7172 3.8665
angles: 90.00 90.00 90.00
Sites, in units of the cell vectors:
Al (0.0000, 0.0000, 0.0000)
W (0.5000, 0.5000, 0.5000)
I (0.0000, 0.5000, 0.5000)
I (0.5000, 0.0000, 0.5000)
N (0.5000, 0.5000, 0.0000)

=====

No. 12
Crystalline Mn2Si4Os at its relaxed geometry, computed with PBE-GGA.

Output
Calculated volume = 124 Å³/f.u.
Formation energy without anion corrections = 0.5383 eV per atom

abc: 4.5873 4.5873 11.8041
angles: 90.00 90.00 90.00
Sites, in units of the cell vectors:
Mn (0.0000, 0.0000, 0.1010)
Mn (0.0000, 0.0000, 0.8990)
Mn (0.5000, 0.5000, 0.3990)
Mn (0.5000, 0.5000, 0.6010)
Si (0.0000, 0.0000, 0.2970)
Si (0.0000, 0.0000, 0.7030)
Si (0.0000, 0.5000, 0.0000)
Si (0.0000, 0.5000, 0.5000)
Si (0.5000, 0.0000, 0.0000)
Si (0.5000, 0.0000, 0.5000)
Si (0.5000, 0.5000, 0.2030)
Si (0.5000, 0.5000, 0.7970)
Os (0.0000, 0.0000, 0.5000)
Os (0.5000, 0.5000, 0.0000)

=====

> Among the records above, which one has the lowest calculated volume?

AlMo2Se

=====

> Which of these has the lowest calculated volume?

AlMo2Se

=====

> Which value of calculated volume does entry 6 give?

547 Å³/f.u.

=====

> calculated volume of number 4 (LiAl2As)?

67 Å³/f.u.